(i)
Below is an optimized crystal structure of Cu3HAu, with properties calculated at the GGA-PBE level.

abc: 4.8465 4.8465 4.8465
angles: 90.00 90.00 90.00
With the nearest neighbours (Å) after each atom.
Sites, in units of the cell vectors:
Cu 0.0000 0.0000 0.5000  2 Au 2.42
Cu 0.0000 0.5000 0.0000  2 Au 2.42
Cu 0.5000 0.0000 0.0000  2 Au 2.42
H 0.5000 0.5000 0.5000  12 Cu 3.43
Au 0.0000 0.0000 0.0000  6 Cu 2.42

Computed properties:
Its density of states at the Fermi level is 2.8 states/eV/cell.

***

(ii)
Below is an optimized crystal structure of Cu3HAu, with properties calculated at the GGA-PBE level.

abc: 3.8373 3.8373 3.8373
angles: 90.00 90.00 90.00
With the nearest neighbours (Å) after each atom.
Sites, in units of the cell vectors:
Cu 0.0000 0.0000 0.5000  2 H 1.92
Cu 0.0000 0.5000 0.0000  2 H 1.92
Cu 0.5000 0.0000 0.0000  2 H 1.92
H 0.0000 0.0000 0.0000  6 Cu 1.92
Au 0.5000 0.5000 0.5000  12 Cu 2.71

Computed properties:
Its density of states at the Fermi level is 1.3 states/eV/cell.

***

What is the least stable structure shown above? It is (i).